# 1
Below is HfTi5 after structural relaxation, with properties calculated at the PBE level.

abc: 6.627 6.627 4.155
angles: 90.00 90.00 143.36
Sites, in units of the cell vectors:
Hf (0.000, 0.000, 0.000)
Ti (0.170, 0.830, 0.500)
Ti (0.330, 0.670, 0.000)
Ti (0.500, 0.500, 0.500)
Ti (0.670, 0.330, 0.000)
Ti (0.830, 0.170, 0.500)

Results
SG: Cmmm, No. 65
E_form: 0.08 eV/atom
E above lowest polymorph: 0.076 eV/atom

# 2
Below is InHgSb2 after structural relaxation, with properties calculated at the PBE level.

abc: 4.918 4.918 4.473
angles: 90.00 90.00 90.00
Sites, in units of the cell vectors:
In (0.000, 0.000, 0.000)
Hg (0.500, 0.500, 0.000)
Sb (0.000, 0.500, 0.500)
Sb (0.500, 0.000, 0.500)

Results
SG: P4/mmm, No. 123
Energy relative to the elements, uncorrected: 0.17 eV/atom
E above lowest polymorph: 0.122 eV/atom

# 3
Below is KPuSn2 after structural relaxation, with properties calculated at the PBE level.

abc: 3.352 3.352 10.360
angles: 90.00 90.00 90.00
Sites, in units of the cell vectors:
K (0.000, 0.000, 0.000)
Pu (0.000, 0.000, 0.500)
Sn (0.500, 0.500, 0.271)
Sn (0.500, 0.500, 0.729)

Results
SG: P4/mmm, No. 123
E_form: -0.23 eV/atom

# 4
Below is Cs2KHfTi after structural relaxation, with properties calculated at the PBE level.

abc: 7.293 7.293 4.985
angles: 90.00 90.00 90.00
Sites, in units of the cell vectors:
Cs (0.000, 0.500, 0.000)
Cs (0.500, 0.000, 0.000)
K (0.000, 0.000, 0.500)
Hf (0.500, 0.500, 0.500)
Ti (0.500, 0.500, 0.000)

Results
SG: P4/mmm, No. 123
E_form: 1.14 eV/atom

# 5
Below is Eu2TmTl after structural relaxation, with properties calculated at the PBE level.

abc: 12.818 12.818 12.818
angles: 16.37 16.37 16.37
Sites, in units of the cell vectors:
Eu (0.088, 0.088, 0.088)
Eu (0.912, 0.912, 0.912)
Tm (0.500, 0.500, 0.500)
Tl (0.000, 0.000, 0.000)

Results
SG: R-3m, No. 166
E_form: 0.11 eV/atom
E above lowest polymorph: 0.243 eV/atom

# 6
Below is BeFe2As after structural relaxation, with properties calculated at the PBE level.

abc: 4.458 4.458 4.458
angles: 134.02 134.02 67.05
Sites, in units of the cell vectors:
Be (0.000, 0.000, 0.000)
Fe (0.250, 0.750, 0.500)
Fe (0.500, 0.500, 0.000)
As (0.750, 0.250, 0.500)

Results
SG: I-4m2, No. 119
E_form: 0.00 eV/atom
E above lowest polymorph: 0.114 eV/atom

What did the sixth record say?
Below is BeFe2As after structural relaxation, with properties calculated at the PBE level.

abc: 4.458 4.458 4.458
angles: 134.02 134.02 67.05
Sites, in units of the cell vectors:
Be (0.000, 0.000, 0.000)
Fe (0.250, 0.750, 0.500)
Fe (0.500, 0.500, 0.000)
As (0.750, 0.250, 0.500)

Results
SG: I-4m2, No. 119
E_form: 0.00 eV/atom
E above lowest polymorph: 0.114 eV/atom